Record 1
# GGA-PBE Na2In2Pb, relaxed
data_Na2In2Pb
_cell_length_a 4.436
_cell_length_b 4.436
_cell_length_c 8.141
_cell_angle_alpha 74.19
_cell_angle_beta 74.19
_cell_angle_gamma 90.00
_symmetry_space_group_name_H-M 'P 1'
_symmetry_Int_Tables_number 1
loop_
_symmetry_equiv_pos_as_xyz
'x,y,z'
loop_
_atom_site_label
_atom_site_type_symbol
_atom_site_fract_x
_atom_site_fract_y
_atom_site_fract_z
Pb1 Pb 0.000 0.000 0.000
Na1 Na 0.750 0.250 0.500
Na2 Na 0.250 0.750 0.500
In1 In 0.405 0.405 0.191
In2 In 0.595 0.595 0.809
# * total DFT energy (no corrections): -2.339 eV per atom
# * ΔE_f: 0.128 eV per formula unit
# * M_tot: 0.00 μB per atom
# * SG: I4/mmm, No. 139
# * mass density: 5.4 g/cm3
# * polymorph energy (0 for the lowest one): 134 meV per atom
# * crystal system: tetragonal

***

Record 2
# GGA-PBE PmUIrRh, relaxed
data_PmUIrRh
_cell_length_a 4.902
_cell_length_b 4.902
_cell_length_c 4.902
_cell_angle_alpha 60.00
_cell_angle_beta 60.00
_cell_angle_gamma 60.00
_symmetry_space_group_name_H-M 'P 1'
_symmetry_Int_Tables_number 1
loop_
_symmetry_equiv_pos_as_xyz
'x,y,z'
loop_
_atom_site_label
_atom_site_type_symbol
_atom_site_fract_x
_atom_site_fract_y
_atom_site_fract_z
Rh1 Rh 0.750 0.750 0.750
Ir1 Ir 0.250 0.250 0.250
U1 U 0.000 0.000 0.000
Pm1 Pm 0.500 0.500 0.500
# * total DFT energy (no corrections): -8.525 eV per atom
# * ΔE_f: -1.850 eV per formula unit
# * M_tot: 0.60 μB per atom
# * SG: F-43m, No. 216
# * mass density: 13.5 g/cm3
# * crystal system: cubic

***

Record 3
# GGA-PBE ErTh3Se6, relaxed
data_ErTh3Se6
_cell_length_a 7.103
_cell_length_b 9.008
_cell_length_c 9.008
_cell_angle_alpha 100.91
_cell_angle_beta 90.00
_cell_angle_gamma 90.00
_symmetry_space_group_name_H-M 'P 1'
_symmetry_Int_Tables_number 1
loop_
_symmetry_equiv_pos_as_xyz
'x,y,z'
loop_
_atom_site_label
_atom_site_type_symbol
_atom_site_fract_x
_atom_site_fract_y
_atom_site_fract_z
Er1 Er 0.996 0.159 0.841
Er2 Er 0.496 0.841 0.159
Th1 Th 0.488 0.925 0.726
Th2 Th 0.988 0.726 0.925
Th3 Th 0.376 0.397 0.603
Th4 Th 0.876 0.603 0.397
Th5 Th 0.988 0.075 0.274
Th6 Th 0.488 0.274 0.075
Se1 Se 0.183 0.693 0.626
Se2 Se 0.683 0.626 0.693
Se3 Se 0.195 0.429 0.907
Se4 Se 0.695 0.907 0.429
Se5 Se 0.238 0.002 0.998
Se6 Se 0.644 0.238 0.762
Se7 Se 0.144 0.762 0.238
Se8 Se 0.738 0.998 0.002
Se9 Se 0.195 0.093 0.571
Se10 Se 0.695 0.571 0.093
Se11 Se 0.183 0.374 0.307
Se12 Se 0.683 0.307 0.374
# * total DFT energy (no corrections): -6.411 eV per atom
# * M_tot: 0.00 μB per atom
# * SG: Cmc2_1, No. 36
# * mass density: 7.8 g/cm3
# * crystal system: orthorhombic
# * formation energy (no corrections): -1.638 eV per atom

***

Please write out number 2 again, unchanged.
# GGA-PBE PmUIrRh, relaxed
data_PmUIrRh
_cell_length_a 4.902
_cell_length_b 4.902
_cell_length_c 4.902
_cell_angle_alpha 60.00
_cell_angle_beta 60.00
_cell_angle_gamma 60.00
_symmetry_space_group_name_H-M 'P 1'
_symmetry_Int_Tables_number 1
loop_
_symmetry_equiv_pos_as_xyz
'x,y,z'
loop_
_atom_site_label
_atom_site_type_symbol
_atom_site_fract_x
_atom_site_fract_y
_atom_site_fract_z
Rh1 Rh 0.750 0.750 0.750
Ir1 Ir 0.250 0.250 0.250
U1 U 0.000 0.000 0.000
Pm1 Pm 0.500 0.500 0.500
# * total DFT energy (no corrections): -8.525 eV per atom
# * ΔE_f: -1.850 eV per formula unit
# * M_tot: 0.60 μB per atom
# * SG: F-43m, No. 216
# * mass density: 13.5 g/cm3
# * crystal system: cubic